No. 1
The following is a DFT calculation (PBE) of an optimized crystal structure of RbYBAu.

Cell lengths 7.2478, 7.2478, 7.2478 Å; angles 90.00, 90.00, 90.00 degrees
Space group F-43m (No. 216)
Symmetry-distinct sites (fractional):
Rb 0.0000 0.0000 0.0000 [4 per cell]
Y 0.0000 0.0000 0.5000 [4 per cell]
B 0.2500 0.2500 0.2500 [4 per cell]
Au 0.2500 0.2500 0.7500 [4 per cell]

Computed properties:
E = -3.666 eV/atom

***

No. 2
The following is a DFT calculation (PBE) of an optimized crystal structure of Er2CuPt.

Cell lengths 5.4945, 4.4491, 7.4096 Å; angles 90.00, 109.83, 90.00 degrees
Space group P2_1/m (No. 11)
Symmetry-distinct sites (fractional):
Er 0.2201 0.2500 0.4335 [2 per cell]
Er 0.2240 0.2500 0.9275 [2 per cell]
Cu 0.3389 0.7500 0.2079 [2 per cell]
Pt 0.3426 0.7500 0.7124 [2 per cell]

Computed properties:
E = -5.569 eV/atom

***

No. 3
The following is a DFT calculation (PBE) of an optimized crystal structure of ZnBNO.

Cell lengths 3.3468, 3.3468, 6.4091 Å; angles 90.00, 90.00, 90.00 degrees
Space group P4/nmm (No. 129, origin choice 2)
Symmetry-distinct sites (fractional):
Zn 0.2500 0.7500 0.0000 [2 per cell]
B 0.2500 0.2500 0.3984 [2 per cell]
N 0.2500 0.2500 0.1743 [2 per cell]
O 0.2500 0.7500 0.5000 [2 per cell]

Computed properties:
E = -5.777 eV/atom

***

No. 4
The following is a DFT calculation (PBE) of an optimized crystal structure of TaCd2Si.

Cell lengths 6.6484, 6.6484, 6.6484 Å; angles 90.00, 90.00, 90.00 degrees
Space group F-43m (No. 216)
Symmetry-distinct sites (fractional):
Ta 0.0000 0.0000 0.0000 [4 per cell]
Cd 0.0000 0.0000 0.5000 [4 per cell]
Cd 0.2500 0.2500 0.2500 [4 per cell]
Si 0.2500 0.2500 0.7500 [4 per cell]

Computed properties:
E = -4.202 eV/atom

***

No. 5
The following is a DFT calculation (PBE) of an optimized crystal structure of Li2Al2CuPd2Pt.

Cell lengths 3.7648, 3.7648, 7.7195 Å; angles 90.00, 90.00, 90.00 degrees
Space group P-4m2 (No. 115)
Symmetry-distinct sites (fractional):
Li 0.0000 0.5000 0.2460 [2 per cell]
Al 0.0000 0.0000 0.0000 [1 per cell]
Al 0.5000 0.5000 0.5000 [1 per cell]
Cu 0.5000 0.5000 0.0000 [1 per cell]
Pd 0.0000 0.5000 0.7669 [2 per cell]
Pt 0.0000 0.0000 0.5000 [1 per cell]

Computed properties:
E = -4.535 eV/atom

***

No. 6
The following is a DFT calculation (PBE) of an optimized crystal structure of NdEr2S3.

Cell lengths 3.9027, 3.9027, 9.7449 Å; angles 90.00, 90.00, 120.00 degrees
Space group P-3m1 (No. 164)
Symmetry-distinct sites (fractional):
Nd 0.0000 0.0000 0.0000 [1 per cell]
Er 0.3333 0.6667 0.6624 [2 per cell]
S 0.0000 0.0000 0.5000 [1 per cell]
S 0.3333 0.6667 0.1833 [2 per cell]

Computed properties:
E = -6.361 eV/atom

***

No. 7
The following is a DFT calculation (PBE) of an optimized crystal structure of Nb2GaPt.

Cell lengths 6.4587, 6.4587, 6.4587 Å; angles 90.00, 90.00, 90.00 degrees
Space group F-43m (No. 216)
Symmetry-distinct sites (fractional):
Nb 0.0000 0.0000 0.0000 [4 per cell]
Nb 0.2500 0.2500 0.2500 [4 per cell]
Ga 0.0000 0.0000 0.5000 [4 per cell]
Pt 0.2500 0.2500 0.7500 [4 per cell]

Computed properties:
E = -7.467 eV/atom

***

No. 8
The following is a DFT calculation (PBE) of an optimized crystal structure of RbCoPd.

Cell lengths 6.8465, 6.8465, 6.8465 Å; angles 90.00, 90.00, 90.00 degrees
Space group F-43m (No. 216)
Symmetry-distinct sites (fractional):
Rb 0.0000 0.0000 0.0000 [4 per cell]
Co 0.2500 0.2500 0.7500 [4 per cell]
Pd 0.2500 0.2500 0.2500 [4 per cell]

Computed properties:
E = -2.688 eV/atom

***

No. 9
The following is a DFT calculation (PBE) of an optimized crystal structure of CsKAgAs.

Cell lengths 6.4018, 8.1414, 10.6790 Å; angles 90.00, 90.00, 90.00 degrees
Space group Ama2 (No. 40)
Symmetry-distinct sites (fractional):
Cs 0.2500 0.1451 0.0000 [4 per cell]
K 0.2500 0.1480 0.6582 [4 per cell]
Ag 0.0000 0.0000 0.3261 [4 per cell]
As 0.2500 0.2461 0.3359 [4 per cell]

Computed properties:
E = -2.726 eV/atom

***

No. 10
The following is a DFT calculation (PBE) of an optimized crystal structure of AcBiW.

Cell lengths 7.6403, 7.6403, 7.6403 Å; angles 90.00, 90.00, 90.00 degrees
Space group F-43m (No. 216)
Symmetry-distinct sites (fractional):
Ac 0.0000 0.0000 0.0000 [4 per cell]
Bi 0.2500 0.2500 0.7500 [4 per cell]
W 0.2500 0.2500 0.2500 [4 per cell]

Computed properties:
E = -5.566 eV/atom

***

No. 11
The following is a DFT calculation (PBE) of an optimized crystal structure of Pr2ErMg4In2.

Cell lengths 4.7703, 13.1546, 7.7726 Å; angles 90.00, 90.00, 90.00 degrees
Space group Amm2 (No. 38)
Symmetry-distinct sites (fractional):
Pr 0.0000 0.2143 0.0000 [4 per cell]
Er 0.0000 0.0000 0.3489 [2 per cell]
Mg 0.0000 0.0000 0.7712 [2 per cell]
Mg 0.5000 0.0000 0.0224 [2 per cell]
Mg 0.5000 0.1220 0.6598 [4 per cell]
In 0.5000 0.1624 0.2861 [4 per cell]

Computed properties:
E = -3.159 eV/atom

***

No. 12
The following is a DFT calculation (PBE) of an optimized crystal structure of NaIrNO.

Cell lengths 2.9781, 6.1503, 6.0668 Å; angles 90.00, 90.00, 90.00 degrees
Space group Pmc2_1 (No. 26)
Symmetry-distinct sites (fractional):
Na 0.0000 0.1767 0.0000 [2 per cell]
Ir 0.5000 0.3508 0.5148 [2 per cell]
N 0.5000 0.4200 0.8028 [2 per cell]
O 0.0000 0.1621 0.3697 [2 per cell]

Computed properties:
E = -6.032 eV/atom

***

No. 13
The following is a DFT calculation (PBE) of an optimized crystal structure of NaUNi.

Cell lengths 6.5636, 6.5636, 6.5636 Å; angles 90.00, 90.00, 90.00 degrees
Space group F-43m (No. 216)
Symmetry-distinct sites (fractional):
Na 0.0000 0.0000 0.0000 [4 per cell]
U 0.2500 0.2500 0.2500 [4 per cell]
Ni 0.0000 0.0000 0.5000 [4 per cell]

Computed properties:
E = -4.701 eV/atom

***

No. 14
The following is a DFT calculation (PBE) of an optimized crystal structure of Pr2HfO4.

Cell lengths 9.7268, 9.7268, 9.7268 Å; angles 90.00, 90.00, 90.00 degrees
Space group Fd-3m (No. 227, origin choice 2)
Symmetry-distinct sites (fractional):
Pr 0.0000 0.0000 0.0000 [16 per cell]
Hf 0.1250 0.1250 0.6250 [8 per cell]
O 0.0083 0.0083 0.7417 [32 per cell]

Computed properties:
E = -8.566 eV/atom

***

No. 15
The following is a DFT calculation (PBE) of an optimized crystal structure of TmMg2.

Cell lengths 3.3186, 3.3186, 16.1484 Å; angles 90.00, 90.00, 120.00 degrees
Space group P-3m1 (No. 164)
Symmetry-distinct sites (fractional):
Tm 0.3333 0.6667 0.0880 [2 per cell]
Mg 0.3333 0.6667 0.4205 [2 per cell]
Mg 0.3333 0.6667 0.7382 [2 per cell]

Computed properties:
E = -2.498 eV/atom

***

No. 16
The following is a DFT calculation (PBE) of an optimized crystal structure of Lu2FeSiGe.

Cell lengths 10.3436, 4.1390, 9.7910 Å; angles 90.00, 118.65, 90.00 degrees
Space group C2/m (No. 12)
Symmetry-distinct sites (fractional):
Lu 0.0008 0.0000 0.3262 [4 per cell]
Lu 0.1859 0.0000 0.1061 [4 per cell]
Fe 0.2239 0.5000 0.3663 [4 per cell]
Si 0.0036 0.5000 0.8746 [4 per cell]
Ge 0.1511 0.5000 0.5668 [4 per cell]

Computed properties:
E = -6.146 eV/atom

***

No. 17
The following is a DFT calculation (PBE) of an optimized crystal structure of LiCdAs.

Cell lengths 4.5391, 4.5391, 6.7882 Å; angles 90.00, 90.00, 120.00 degrees
Space group P6_3/mmc (No. 194)
Symmetry-distinct sites (fractional):
Li 0.0000 0.0000 0.0000 [2 per cell]
Cd 0.3333 0.6667 0.2500 [2 per cell]
As 0.3333 0.6667 0.7500 [2 per cell]

Computed properties:
E = -2.790 eV/atom

***

No. 18
The following is a DFT calculation (PBE) of an optimized crystal structure of ZrTl4Se4.

Cell lengths 9.3633, 9.3716, 16.1774 Å; angles 105.35, 104.28, 90.19 degrees
Space group P-1 (No. 2)
Symmetry-distinct sites (fractional):
Zr 0.0000 0.0000 0.0000 [1 per cell]
Zr 0.1876 0.0171 0.5996 [2 per cell]
Zr 0.1955 0.8212 0.8002 [2 per cell]
Tl 0.0399 0.5863 0.4010 [2 per cell]
Tl 0.0515 0.7734 0.2047 [2 per cell]
Tl 0.2052 0.3964 0.1943 [2 per cell]
Tl 0.2231 0.2220 0.3996 [2 per cell]
Tl 0.2234 0.6053 0.0012 [2 per cell]
Tl 0.4011 0.2321 0.9926 [2 per cell]
Tl 0.4091 0.6160 0.6076 [2 per cell]
Tl 0.4107 0.4193 0.8017 [2 per cell]
Tl 0.4106 0.7708 0.4027 [2 per cell]
Tl 0.4141 0.9471 0.1986 [2 per cell]
Se 0.0736 0.2794 0.9970 [2 per cell]
Se 0.0845 0.0917 0.1817 [2 per cell]
Se 0.1068 0.9300 0.4186 [2 per cell]
Se 0.1151 0.7401 0.6186 [2 per cell]
Se 0.1212 0.5470 0.8028 [2 per cell]
Se 0.2428 0.0998 0.7799 [2 per cell]
Se 0.2603 0.2950 0.6042 [2 per cell]
Se 0.2756 0.9279 0.9821 [2 per cell]
Se 0.4613 0.9382 0.5982 [2 per cell]
Se 0.4736 0.7547 0.8055 [2 per cell]

Computed properties:
E = -4.273 eV/atom

***

No. 19
The following is a DFT calculation (PBE) of an optimized crystal structure of TmZnCo.

Cell lengths 6.1231, 6.1231, 6.1231 Å; angles 90.00, 90.00, 90.00 degrees
Space group F-43m (No. 216)
Symmetry-distinct sites (fractional):
Tm 0.0000 0.0000 0.0000 [4 per cell]
Zn 0.2500 0.2500 0.7500 [4 per cell]
Co 0.0000 0.0000 0.5000 [4 per cell]

Computed properties:
E = -4.087 eV/atom

***

No. 20
The following is a DFT calculation (PBE) of an optimized crystal structure of Sc2NiIr.

Cell lengths 4.5510, 4.5510, 3.1708 Å; angles 90.00, 90.00, 90.00 degrees
Space group P4/mmm (No. 123)
Symmetry-distinct sites (fractional):
Sc 0.0000 0.5000 0.0000 [2 per cell]
Ni 0.0000 0.0000 0.5000 [1 per cell]
Ir 0.5000 0.5000 0.5000 [1 per cell]

Computed properties:
E = -7.563 eV/atom